Entry 1:
Density functional theory data (GGA-PBE) for crystalline MnRuPb4 at its relaxed geometry.

Lattice parameters (Å, degrees): 6.2154 6.2154 6.2154 60.00 60.00 60.00
With the nearest neighbours (Å) after each atom.
Sites, in units of the cell vectors:
1 Mn 0.0000 0.0000 0.0000  12 Pb 3.65, 4 Ru 3.81
2 Ru 0.2500 0.2500 0.2500  12 Pb 3.64, 4 Mn 3.81
3 Pb 0.1262 0.6246 0.6246  6 Pb 3.10-3.12
4 Pb 0.6246 0.1262 0.6246  6 Pb 3.10-3.12
5 Pb 0.6246 0.6246 0.1262  6 Pb 3.10-3.12
6 Pb 0.6246 0.6246 0.6246  6 Pb 3.10-3.12

Summary:
The value obtained for the energy of formation from the pure elements is 1.05 eV per atom. The value obtained for the density of states at the Fermi level is 6.1 states/eV/f.u. The calculation puts the calculated volume at 169.79 Å³/cell. The symmetry is F-43m. Its total magnetization is 5.93 μB/cell.



Entry 2:
Density functional theory data (GGA-PBE) for crystalline DyHoGaNi at its relaxed geometry.

Lattice parameters (Å, degrees): 4.3450 5.7152 5.7152 37.89 90.00 90.00
With the nearest neighbours (Å) after each atom.
Sites, in units of the cell vectors:
1 Dy 0.0000 0.0000 0.0000  3 Ni 2.91-3.16, 4 Ga 2.96
2 Ho 0.5000 0.7170 0.7170  3 Ga 2.96-3.10, 4 Ni 2.97
3 Ga 0.5000 0.4301 0.4301  2 Ni 2.63
4 Ni 0.0000 0.2924 0.2924  2 Ga 2.63, 2 Dy 2.91

Summary:
The calculation puts the polymorph energy (0 for the lowest one) at 0.000 eV/atom. The value obtained for the energy of formation from the pure elements is -0.50 eV per atom. The value obtained for the density of states at the Fermi level is 3.2 states/eV/f.u. The calculation puts the calculated volume at 87.17 Å³/cell. The symmetry is Amm2. Its total magnetization is 0.00 μB/cell.



Entry 3:
Density functional theory data (GGA-PBE) for crystalline FeNiRu2 at its relaxed geometry.

Lattice parameters (Å, degrees): 2.9242 2.9242 5.9797 90.00 90.00 90.00
With the nearest neighbours (Å) after each atom.
Sites, in units of the cell vectors:
1 Fe 0.0000 0.0000 0.0000  4 Ni 2.36, 4 Ru 2.59
2 Ni 0.5000 0.5000 0.1913  4 Fe 2.36, 4 Ru 2.60
3 Ru 0.0000 0.0000 0.4547  4 Ni 2.60, 4 Ru 2.68, 1 Fe 2.72
4 Ru 0.5000 0.5000 0.7394  4 Fe 2.59, 4 Ru 2.68, 1 Ni 2.70

Summary:
The value obtained for the energy of formation from the pure elements is 0.20 eV per atom. The value obtained for the density of states at the Fermi level is 4.3 states/eV/f.u. The calculation puts the calculated volume at 51.13 Å³/cell. The symmetry is P4mm. Its total magnetization is 3.07 μB/cell.